(1)
This record from Alexandria via LeMat-Bulk describes a relaxed structure of Cd5Rh. The functional is PBE.

a b c (Å): 5.473 5.473 5.031
angles (deg): 90.00 90.00 120.00
Positions (direct):
1 Cd 0.000 0.500 0.000
2 Cd 0.333 0.667 0.500
3 Cd 0.500 0.000 0.000
4 Cd 0.500 0.500 0.000
5 Cd 0.667 0.333 0.500
6 Rh 0.000 0.000 0.500

Summary:
DOS at the Fermi energy = 3.4 states/eV/cell
formation energy from the elements = 0.332 eV/atom
energy relative to the lowest polymorph listed for this composition = 416 meV/atom

***

(2)
This record from Alexandria via LeMat-Bulk describes a relaxed structure of Cd5Rh. The functional is PBE.

a b c (Å): 5.742 5.742 7.283
angles (deg): 106.82 106.82 31.70
Positions (direct):
1 Cd 0.000 0.000 0.000
2 Cd 0.031 0.031 0.614
3 Cd 0.305 0.305 0.704
4 Cd 0.367 0.367 0.243
5 Cd 0.662 0.662 0.339
6 Rh 0.702 0.702 0.949

Summary:
DOS at the Fermi energy = 2.4 states/eV/cell
formation energy from the elements = -0.037 eV/atom
energy relative to the lowest polymorph listed for this composition = 47 meV/atom

***

(3)
This record from Alexandria via LeMat-Bulk describes a relaxed structure of Cd5Rh2. The functional is PBE.

a b c (Å): 7.359 7.359 7.824
angles (deg): 97.70 97.70 39.31
Positions (direct):
1 Cd 0.073 0.692 0.048
2 Cd 0.125 0.445 0.675
3 Cd 0.236 0.764 0.750
4 Cd 0.308 0.927 0.452
5 Cd 0.445 0.125 0.175
6 Cd 0.555 0.875 0.825
7 Cd 0.692 0.073 0.548
8 Cd 0.764 0.236 0.250
9 Cd 0.875 0.555 0.325
10 Cd 0.927 0.308 0.952
11 Rh 0.223 0.607 0.400
12 Rh 0.393 0.777 0.100
13 Rh 0.607 0.223 0.900
14 Rh 0.777 0.393 0.600

Summary:
DOS at the Fermi energy = 4.6 states/eV/cell
formation energy from the elements = -0.099 eV/atom